1) In2Ge2As | GGA-PBE | relaxed

Lattice parameters (Å, degrees): 7.1333 7.1333 4.6554 90.00 90.00 90.00
Closest atoms and distances in Å follow each position.
Fractional coordinates of all 10 atoms:
As 0.0000 0.0000 0.0000  4 Ge 2.79
As 0.5000 0.5000 0.0000  4 Ge 2.79
Ge 0.3682 0.8682 0.0000  1 Ge 2.66, 2 As 2.79
Ge 0.8682 0.6318 0.0000  1 Ge 2.66, 2 As 2.79
Ge 0.6318 0.1318 0.0000  1 Ge 2.66, 2 As 2.79
Ge 0.1318 0.3682 0.0000  1 Ge 2.66, 2 As 2.79
In 0.1804 0.6804 0.5000  6 Ge 3.00-3.24
In 0.6804 0.8196 0.5000  6 Ge 3.00-3.24
In 0.8196 0.3196 0.5000  6 Ge 3.00-3.24
In 0.3196 0.1804 0.5000  6 Ge 3.00-3.24

Output
Fermi-level density of states ... 0.423 states/eV/atom
Volume ... 237 Å³/cell
SG ... No. 127

***

2) In2Ge2As | GGA-PBE | relaxed

Lattice parameters (Å, degrees): 7.7659 7.7659 3.9687 90.00 90.00 90.00
Closest atoms and distances in Å follow each position.
Fractional coordinates of all 10 atoms:
As 0.0000 0.0000 0.0000  4 In 2.86
As 0.5000 0.5000 0.0000  4 In 2.86
Ge 0.1168 0.6168 0.5000  1 Ge 2.57
Ge 0.6168 0.8832 0.5000  1 Ge 2.57
Ge 0.8832 0.3832 0.5000  1 Ge 2.57
Ge 0.3832 0.1168 0.5000  1 Ge 2.57
In 0.3230 0.8230 0.0000  2 As 2.86, 6 Ge 3.01-3.06
In 0.8230 0.6770 0.0000  2 As 2.86, 6 Ge 3.01-3.06
In 0.6770 0.1770 0.0000  2 As 2.86, 6 Ge 3.01-3.06
In 0.1770 0.3230 0.0000  2 As 2.86, 6 Ge 3.01-3.06

Output
Fermi-level density of states ... 0.492 states/eV/atom
Volume ... 239 Å³/cell
SG ... No. 127

***

It turns out 1) is the most stable, with the second structure 9.0 kJ/mol of atoms higher.

***

1) Mg2InGeAs | GGA-PBE | relaxed

Lattice parameters (Å, degrees): 4.9969 5.2671 4.9969 90.00 90.00 90.00
Closest atoms and distances in Å follow each position.
Fractional coordinates of all 5 atoms:
Mg 0.0000 0.0000 0.5000  2 Ge 2.50
Mg 0.5000 0.0000 0.0000  2 Ge 2.50
As 0.0000 0.5000 0.0000  2 Ge 2.63
Ge 0.0000 0.0000 0.0000  4 Mg 2.50, 2 As 2.63
In 0.5000 0.5000 0.5000  4 As 3.53, 8 Mg 3.63

Output
Fermi-level density of states ... 0.319 states/eV/atom
Volume ... 132 Å³/cell
SG ... No. 123

***

2) Mg2InGeAs | GGA-PBE | relaxed

Lattice parameters (Å, degrees): 5.2776 5.0802 5.2776 90.00 90.00 90.00
Closest atoms and distances in Å follow each position.
Fractional coordinates of all 5 atoms:
Mg 0.0000 0.0000 0.5000  2 In 2.64
Mg 0.5000 0.0000 0.0000  2 In 2.64
As 0.5000 0.5000 0.5000  8 Mg 3.66, 4 Ge 3.73
Ge 0.0000 0.5000 0.0000  2 In 2.54
In 0.0000 0.0000 0.0000  2 Ge 2.54, 4 Mg 2.64

Output
Fermi-level density of states ... 0.480 states/eV/atom
Volume ... 142 Å³/cell
SG ... No. 123

***

It turns out 1) is the most stable, with the second structure 38.7 kJ/mol of atoms higher.

***

1) GeAsIr | GGA-PBE | relaxed

Lattice parameters (Å, degrees): 5.9240 6.3391 6.3159 90.00 90.00 117.82
Closest atoms and distances in Å follow each position.
Fractional coordinates of all 12 atoms:
Ge 0.3350 0.6703 0.1419  3 Ir 2.48-2.55, 1 As 2.52
Ge 0.6650 0.8297 0.6419  3 Ir 2.48-2.55, 1 As 2.52
Ge 0.3350 0.1703 0.3581  3 Ir 2.48-2.55, 1 As 2.52
Ge 0.6650 0.3297 0.8581  3 Ir 2.48-2.55, 1 As 2.52
As 0.1687 0.8375 0.6267  3 Ir 2.51-2.52, 1 Ge 2.52
As 0.8313 0.6625 0.1267  3 Ir 2.51-2.52, 1 Ge 2.52
As 0.1687 0.3375 0.8733  3 Ir 2.51-2.52, 1 Ge 2.52
As 0.8313 0.1625 0.3733  3 Ir 2.51-2.52, 1 Ge 2.52
Ir 0.7549 0.5019 0.4970  3 Ge 2.48-2.55, 3 As 2.51-2.52
Ir 0.2451 0.4981 0.5030  3 Ge 2.48-2.55, 3 As 2.51-2.52
Ir 0.2451 0.9981 0.9970  3 Ge 2.48-2.55, 3 As 2.51-2.52
Ir 0.7549 0.0019 0.0030  3 Ge 2.48-2.55, 3 As 2.51-2.52

Output
Fermi-level density of states ... 0.074 states/eV/atom
Volume ... 210 Å³/cell
SG ... No. 14

***

2) GeAsIr | GGA-PBE | relaxed

Lattice parameters (Å, degrees): 4.2448 4.2448 4.2448 60.00 60.00 60.00
Closest atoms and distances in Å follow each position.
Fractional coordinates of all 3 atoms:
As 0.0000 0.0000 0.0000  4 Ir 2.60
Ir 0.2500 0.2500 0.2500  4 Ge 2.60, 4 As 2.60
Ge 0.5000 0.5000 0.5000  4 Ir 2.60

Output
Fermi-level density of states ... 0.664 states/eV/atom
Volume ... 54 Å³/cell
SG ... No. 216

***

It turns out 1) is the most stable, with the second structure 16.1 kJ/mol of atoms higher.

***

1) GeAs3Ir | GGA-PBE | relaxed

Lattice parameters (Å, degrees): 4.7474 4.7474 4.7474 90.00 90.00 90.00
Closest atoms and distances in Å follow each position.
Fractional coordinates of all 5 atoms:
As 0.0000 0.5000 0.0000  2 Ge 2.37
As 0.0000 0.0000 0.5000  2 Ge 2.37
As 0.5000 0.0000 0.0000  2 Ge 2.37
Ir 0.5000 0.5000 0.5000  12 As 3.36
Ge 0.0000 0.0000 0.0000  6 As 2.37

Output
Fermi-level density of states ... 0.809 states/eV/atom
Volume ... 107 Å³/cell
SG ... No. 221

***

2) GeAs3Ir | GGA-PBE | relaxed

Lattice parameters (Å, degrees): 4.8692 4.8692 4.8692 90.00 90.00 90.00
Closest atoms and distances in Å follow each position.
Fractional coordinates of all 5 atoms:
As 0.0000 0.5000 0.0000  2 Ir 2.43
As 0.0000 0.0000 0.5000  2 Ir 2.43
As 0.5000 0.0000 0.0000  2 Ir 2.43
Ir 0.0000 0.0000 0.0000  6 As 2.43
Ge 0.5000 0.5000 0.5000  12 As 3.44

Output
Fermi-level density of states ... 1.342 states/eV/atom
Volume ... 115 Å³/cell
SG ... No. 221

***

It turns out 2) is the most stable, with the second structure 58.8 kJ/mol of atoms higher.